Density functional theory data (PBE+U) for crystalline CdSb2MoO at its relaxed geometry.

abc: 5.434 5.675 5.434
angles: 90.00 90.00 90.00
Site moments in Bohr magnetons follow the coordinates.
Fractional coordinates of all 5 atoms:
1 Sb 0.000 0.000 0.500  -0.17
2 Sb 0.500 0.000 0.000  -0.19
3 Mo 0.000 0.500 0.000  4.07
4 O 0.500 0.500 0.500  -1.13
5 Cd 0.000 0.000 0.000  0.01

**Crystal system**: tetragonal
**Calculated total energy**: -14.07 eV per cell